## Sr2Co2O5 (PBE+U)

Data for crystalline Sr2Co2O5 at its relaxed geometry.

Output
**Theoretical density**: 5.53 g/cm³
**Size of the total moment**: 3.77 Bohr magnetons per cell
**Total energy**: -53.80 eV for the cell shown

a = 3.8068 Å, b = 3.8068 Å, c = 7.7307 Å
α = 90.00°, β = 90.00°, γ = 90.00°
Element x y z (fractional)
Sr 0.0000 0.0000 0.0000
Sr 0.0000 0.0000 0.5000
Co 0.5000 0.5000 0.2470
Co 0.5000 0.5000 0.7530
O 0.0000 0.5000 0.2803
O 0.0000 0.5000 0.7197
O 0.5000 0.0000 0.2803
O 0.5000 0.0000 0.7197
O 0.5000 0.5000 0.0000